1.
RbPmPuO6 | Alexandria via LeMat-Bulk | PBE | relaxed; density = 5120 kg/m3; calculated volume = 185.0 Å³ per cell; E = -7.931 eV/atom; total magnetic moment = 0.00 μB/f.u.
1.0
-2.414 -5.489 -0.191
1.013 -3.879 4.462
-4.806 2.015 2.842
Rb Pm Pu O
1 1 1 6
Direct
0.000 0.000 0.000
0.667 0.667 0.500
0.333 0.333 0.500
0.044 0.365 0.315
0.365 0.044 0.685
0.591 0.365 0.685
0.044 0.591 0.685
0.365 0.591 0.315
0.591 0.044 0.315



2.
PmPuRhO6 | Alexandria via LeMat-Bulk | PBE | relaxed; density = 7635 kg/m3; calculated volume = 255.7 Å³ per cell; E = -8.557 eV/atom; total magnetic moment = 2.00 μB/f.u.
1.0
-1.224 -0.407 5.132
4.811 -1.411 -1.692
3.449 9.836 1.603
Pm Pu Rh O
2 2 2 12
Direct
0.000 0.000 0.000
0.000 0.000 0.500
0.667 0.333 0.250
0.333 0.667 0.750
0.333 0.667 0.250
0.667 0.333 0.750
0.645 0.653 0.140
0.008 0.355 0.140
0.355 0.008 0.640
0.992 0.645 0.860
0.347 0.355 0.360
0.008 0.653 0.360
0.653 0.008 0.860
0.645 0.992 0.360
0.992 0.347 0.640
0.347 0.992 0.140
0.653 0.645 0.640
0.355 0.347 0.860



3.
PmPuS2O | Alexandria via LeMat-Bulk | PBE | relaxed; density = 7268 kg/m3; calculated volume = 214.4 Å³ per cell; E = -8.776 eV/atom; total magnetic moment = 4.99 μB/f.u.
1.0
-3.233 0.801 -2.115
-1.822 -3.107 1.610
-4.674 8.017 10.180
Pm Pu S O
2 2 4 2
Direct
0.500 0.000 0.588
0.000 0.500 0.412
0.500 0.000 0.115
0.000 0.500 0.885
0.000 0.500 0.699
0.000 0.500 0.091
0.500 0.000 0.909
0.500 0.000 0.301
0.000 0.000 0.500
0.500 0.500 0.500